Record 1
Computed, not measured: VSn3Pd after structural relaxation at the GGA-PBE level of DFT.

Cell lengths 5.0816, 5.0816, 5.0816 Å; angles 90.00, 90.00, 90.00 degrees
Site moments in Bohr magnetons follow the coordinates.
Element x y z (fractional)
Sn1 0.0000 0.5000 0.0000  0.00
Sn2 0.0000 0.0000 0.5000  0.00
Sn3 0.5000 0.0000 0.0000  0.00
Pd1 0.5000 0.5000 0.5000  0.07
V1 0.0000 0.0000 0.0000  0.84

Results
Its energy above the most stable polymorph in this dataset is 0.0 meV/atom. The formation energy is 0.436 eV per atom.


Record 2
Computed, not measured: VSn4Pd2 after structural relaxation at the GGA-PBE level of DFT.

Cell lengths 5.1148, 5.1148, 7.4834 Å; angles 70.02, 70.02, 90.00 degrees
Site moments in Bohr magnetons follow the coordinates.
Element x y z (fractional)
Sn1 0.1961 0.1961 0.6079  -0.01
Sn2 0.8039 0.8039 0.3921  -0.01
Sn3 0.0000 0.5000 0.0000  -0.01
Sn4 0.5000 0.0000 0.0000  -0.01
Pd1 0.3944 0.3944 0.2112  0.05
Pd2 0.6056 0.6056 0.7888  0.05
V1 0.0000 0.0000 0.0000  0.73

Results
The formation energy is 0.096 eV per atom.


Record 3
Computed, not measured: VSnPd after structural relaxation at the GGA-PBE level of DFT.

Cell lengths 3.8839, 3.8839, 7.4782 Å; angles 105.05, 105.05, 90.00 degrees
Element x y z (fractional)
Pd1 0.1399 0.1399 0.2797
Pd2 0.8601 0.8601 0.7203
V1 0.0000 0.5000 0.0000
V2 0.5000 0.0000 0.0000
Sn1 0.6599 0.6599 0.3198
Sn2 0.3401 0.3401 0.6802

Results
The formation energy is -0.210 eV per atom.


Record 4
Computed, not measured: VSn2Pd9 after structural relaxation at the GGA-PBE level of DFT.

Cell lengths 3.9942, 3.9942, 11.9660 Å; angles 90.00, 90.00, 90.00 degrees
Site moments in Bohr magnetons follow the coordinates.
Element x y z (fractional)
V1 0.0000 0.0000 0.0000  1.22
Sn1 0.0000 0.0000 0.3301  0.00
Sn2 0.0000 0.0000 0.6699  0.00
Pd1 0.5000 0.5000 0.0000  -0.05
Pd2 0.5000 0.5000 0.3290  -0.01
Pd3 0.5000 0.5000 0.6710  -0.01
Pd4 0.5000 0.0000 0.1567  -0.03
Pd5 0.5000 0.0000 0.5000  0.00
Pd6 0.5000 0.0000 0.8433  -0.03
Pd7 0.0000 0.5000 0.1567  -0.03
Pd8 0.0000 0.5000 0.5000  0.00
Pd9 0.0000 0.5000 0.8433  -0.03

Results
The formation energy is -0.411 eV per atom.


Record 5
Computed, not measured: VSnPd3 after structural relaxation at the GGA-PBE level of DFT.

Cell lengths 4.8906, 4.8906, 4.8906 Å; angles 90.00, 90.00, 90.00 degrees
Site moments in Bohr magnetons follow the coordinates.
Element x y z (fractional)
Sn1 0.0000 0.0000 0.0000  -0.02
Pd1 0.0000 0.5000 0.0000  0.01
Pd2 0.0000 0.0000 0.5000  0.01
Pd3 0.5000 0.0000 0.0000  0.01
V1 0.5000 0.5000 0.5000  2.87

Results
Its energy above the most stable polymorph in this dataset is 270.4 meV/atom. The formation energy is 0.776 eV per atom.


Record 6
Computed, not measured: VSn4Pd15 after structural relaxation at the GGA-PBE level of DFT.

Cell lengths 4.0087, 4.0087, 20.0719 Å; angles 90.00, 90.00, 90.00 degrees
Site moments in Bohr magnetons follow the coordinates.
Element x y z (fractional)
V1 0.0000 0.0000 0.0000  1.15
Sn1 0.0000 0.0000 0.1969  0.00
Sn2 0.0000 0.0000 0.3991  0.00
Sn3 0.0000 0.0000 0.6009  0.00
Sn4 0.0000 0.0000 0.8031  0.00
Pd1 0.5000 0.5000 0.0000  -0.06
Pd2 0.5000 0.5000 0.1951  -0.01
Pd3 0.5000 0.5000 0.3982  0.00
Pd4 0.5000 0.5000 0.6018  0.00
Pd5 0.5000 0.5000 0.8049  -0.01
Pd6 0.5000 0.0000 0.0931  -0.03
Pd7 0.5000 0.0000 0.2970  0.00
Pd8 0.5000 0.0000 0.5000  0.00
Pd9 0.5000 0.0000 0.7030  0.00
Pd10 0.5000 0.0000 0.9069  -0.03
Pd11 0.0000 0.5000 0.0931  -0.03
Pd12 0.0000 0.5000 0.2970  0.00
Pd13 0.0000 0.5000 0.5000  0.00
Pd14 0.0000 0.5000 0.7030  0.00
Pd15 0.0000 0.5000 0.9069  -0.03

Results
The formation energy is -0.449 eV per atom.